[1]
# SrCa2Pb (GGA-PBE, relaxed)
# - total magnetic moment (μB/atom) = 0.01
# - calculated formation energy (eV/f.u.) = -1.14
data_SrCa2Pb
_chemical_formula_sum 'Sr1 Ca2 Pb1'
_symmetry_space_group_name_H-M 'P 1'
_symmetry_Int_Tables_number 1
_symmetry_space_group_name_Hall 'P 1'
_cell_length_a 7.2859
_cell_length_b 7.2859
_cell_length_c 7.2859
_cell_angle_alpha 147.77
_cell_angle_beta 131.33
_cell_angle_gamma 59.58
loop_
_atom_site_label
_atom_site_fract_x
_atom_site_fract_y
_atom_site_fract_z
Pb1 0.7500 0.2500 0.5000
Sr1 0.2500 0.7500 0.5000
Ca1 0.9563 0.9563 0.0000
Ca2 0.5437 0.5437 0.0000

=====

[2]
# SrCa2Pb (GGA-PBE, relaxed)
# - total magnetic moment (μB/atom) = 0.00
# - calculated formation energy (eV/f.u.) = -0.97
data_SrCa2Pb
_chemical_formula_sum 'Sr1 Ca2 Pb1'
_symmetry_space_group_name_H-M 'P 1'
_symmetry_Int_Tables_number 1
_symmetry_space_group_name_Hall 'P 1'
_cell_length_a 3.9631
_cell_length_b 4.7353
_cell_length_c 7.9639
_cell_angle_alpha 90.00
_cell_angle_beta 90.00
_cell_angle_gamma 90.00
loop_
_atom_site_label
_atom_site_fract_x
_atom_site_fract_y
_atom_site_fract_z
Pb1 0.5000 0.5000 0.2500
Sr1 0.5000 0.5000 0.7500
Ca1 0.0000 0.0000 0.0440
Ca2 0.0000 0.0000 0.4560

=====

[3]
# SrCa2TaPb (GGA-PBE, relaxed)
# - total magnetic moment (μB/atom) = 0.00
# - calculated formation energy (eV/f.u.) = 4.56
data_SrCa2TaPb
_chemical_formula_sum 'Sr1 Ca2 Ta1 Pb1'
_symmetry_space_group_name_H-M 'P 1'
_symmetry_Int_Tables_number 1
_symmetry_space_group_name_Hall 'P 1'
_cell_length_a 5.6643
_cell_length_b 5.8507
_cell_length_c 5.6643
_cell_angle_alpha 90.00
_cell_angle_beta 90.00
_cell_angle_gamma 90.00
loop_
_atom_site_label
_atom_site_fract_x
_atom_site_fract_y
_atom_site_fract_z
Pb1 0.5000 0.5000 0.5000
Sr1 0.0000 0.5000 0.0000
Ca1 0.0000 0.0000 0.5000
Ca2 0.5000 0.0000 0.0000
Ta1 0.0000 0.0000 0.0000

=====

[4]
# Sr3CaTe6Pb2 (GGA-PBE, relaxed)
# - total magnetic moment (μB/atom) = 0.00
# - total energy (eV per atom) = -4.04
data_Sr3CaTe6Pb2
_chemical_formula_sum 'Sr3 Ca1 Te6 Pb2'
_symmetry_space_group_name_H-M 'P 1'
_symmetry_Int_Tables_number 1
_symmetry_space_group_name_Hall 'P 1'
_cell_length_a 8.1213
_cell_length_b 8.1213
_cell_length_c 8.1069
_cell_angle_alpha 99.62
_cell_angle_beta 99.62
_cell_angle_gamma 120.02
loop_
_atom_site_label
_atom_site_fract_x
_atom_site_fract_y
_atom_site_fract_z
Sr1 0.1696 0.8304 0.5000
Sr2 0.8304 0.1696 0.5000
Sr3 0.5000 0.5000 0.5000
Ca1 0.0000 0.0000 0.0000
Te1 0.9196 0.5911 0.7582
Te2 0.7532 0.7532 0.2438
Te3 0.0804 0.4089 0.2418
Te4 0.5911 0.9196 0.7582
Te5 0.2468 0.2468 0.7562
Te6 0.4089 0.0804 0.2418
Pb1 0.3346 0.6654 0.0000
Pb2 0.6654 0.3346 0.0000

=====

[5]
# SrCa2Te4Pb (GGA-PBE, relaxed)
# - total magnetic moment (μB/atom) = 0.00
# - total energy (eV per atom) = -4.09
data_SrCa2Te4Pb
_chemical_formula_sum 'Sr1 Ca2 Te4 Pb1'
_symmetry_space_group_name_H-M 'P 1'
_symmetry_Int_Tables_number 1
_symmetry_space_group_name_Hall 'P 1'
_cell_length_a 4.6102
_cell_length_b 8.0178
_cell_length_c 7.9800
_cell_angle_alpha 70.54
_cell_angle_beta 90.00
_cell_angle_gamma 90.00
loop_
_atom_site_label
_atom_site_fract_x
_atom_site_fract_y
_atom_site_fract_z
Sr1 0.0000 0.5000 0.5000
Ca1 0.0000 0.0000 0.0000
Ca2 0.5000 0.0000 0.5000
Te1 0.0000 0.7605 0.7487
Te2 0.0000 0.2395 0.2513
Te3 0.5000 0.7618 0.2440
Te4 0.5000 0.2382 0.7560
Pb1 0.5000 0.5000 0.0000

=====

[6]
# SrCa3Te6Pb2 (GGA-PBE, relaxed)
# - total magnetic moment (μB/atom) = 0.00
# - total energy (eV per atom) = -4.07
data_SrCa3Te6Pb2
_chemical_formula_sum 'Sr1 Ca3 Te6 Pb2'
_symmetry_space_group_name_H-M 'P 1'
_symmetry_Int_Tables_number 1
_symmetry_space_group_name_Hall 'P 1'
_cell_length_a 7.9687
_cell_length_b 7.9687
_cell_length_c 8.0012
_cell_angle_alpha 99.56
_cell_angle_beta 99.56
_cell_angle_gamma 120.00
loop_
_atom_site_label
_atom_site_fract_x
_atom_site_fract_y
_atom_site_fract_z
Sr1 0.0000 0.0000 0.0000
Ca1 0.1678 0.8322 0.5000
Ca2 0.8322 0.1678 0.5000
Ca3 0.5000 0.5000 0.5000
Te1 0.9136 0.5768 0.7403
Te2 0.7507 0.7507 0.2616
Te3 0.0864 0.4232 0.2597
Te4 0.5768 0.9136 0.7403
Te5 0.2493 0.2493 0.7384
Te6 0.4232 0.0864 0.2597
Pb1 0.3335 0.6665 0.0000
Pb2 0.6665 0.3335 0.0000

=====

- What is the total magnetic moment in the fourth record?
  0.00 μB/atom

=====

- Look up the total magnetic moment of the second one.
  0.00 μB/atom